1.
A relaxed SbRu2Au crystal, computed with GGA-PBEsol.

## Properties
- Spin magnetization: 0.000 μB/cell
- E_tot: -6.91 eV per atom
- V: 17.0 Å³ per atom

abc: 2.879 2.879 8.187
angles: 90.00 90.00 90.00
Element x y z (fractional)
Sb1 0.000 0.000 0.469
Ru1 0.000 0.000 0.027
Ru2 0.500 0.500 0.218
Au1 0.500 0.500 0.786


2.
A relaxed SbRu2Au crystal, computed with GGA-PBEsol.

## Properties
- Spin magnetization: 0.002 μB/cell
- E_tot: -6.94 eV per atom
- V: 15.9 Å³ per atom

abc: 3.139 3.139 6.440
angles: 90.00 90.00 90.00
Element x y z (fractional)
Ru1 0.000 0.000 0.770
Ru2 0.000 0.000 0.230
Au1 0.500 0.500 0.500
Sb1 0.500 0.500 0.000


3.
A relaxed ScRu2Au crystal, computed with GGA-PBEsol.

## Properties
- Spin magnetization: 0.002 μB/cell
- E_tot: -7.71 eV per atom
- V: 15.6 Å³ per atom

abc: 4.454 4.454 4.454
angles: 60.00 60.00 60.00
Element x y z (fractional)
Ru1 0.000 0.000 0.000
Ru2 0.750 0.750 0.750
Sc1 0.250 0.250 0.250
Au1 0.500 0.500 0.500


4.
A relaxed ScRu2Au crystal, computed with GGA-PBEsol.

## Properties
- Spin magnetization: 0.001 μB/cell
- E_tot: -7.59 eV per atom
- V: 15.6 Å³ per atom

abc: 2.823 2.823 9.212
angles: 81.19 81.19 60.00
Element x y z (fractional)
Sc1 0.497 0.497 0.510
Ru1 0.006 0.006 0.983
Ru2 0.746 0.746 0.763
Au1 0.252 0.252 0.244


5.
A relaxed Sc2RuAu crystal, computed with GGA-PBEsol.

## Properties
- Spin magnetization: 0.000 μB/cell
- E_tot: -7.49 eV per atom
- V: 17.2 Å³ per atom

abc: 4.601 4.601 4.601
angles: 60.00 60.00 60.00
Element x y z (fractional)
Sc1 0.250 0.250 0.250
Sc2 0.750 0.750 0.750
Ru1 0.000 0.000 0.000
Au1 0.500 0.500 0.500


6.
A relaxed Sc2RuAu crystal, computed with GGA-PBEsol.

## Properties
- Spin magnetization: 0.000 μB/cell
- E_tot: -7.56 eV per atom
- V: 17.3 Å³ per atom

abc: 3.230 3.230 6.630
angles: 90.00 90.00 90.00
Element x y z (fractional)
Sc1 0.000 0.000 0.730
Sc2 0.000 0.000 0.270
Au1 0.500 0.500 0.000
Ru1 0.500 0.500 0.500


7.
A relaxed ScRu2Au crystal, computed with GGA-PBEsol.

## Properties
- Spin magnetization: 0.001 μB/cell
- E_tot: -7.74 eV per atom
- V: 15.4 Å³ per atom

abc: 2.892 4.776 4.788
angles: 100.84 90.00 107.63
Element x y z (fractional)
Sc1 0.000 0.000 0.500
Ru1 0.251 0.502 0.253
Ru2 0.749 0.498 0.747
Au1 0.500 0.000 0.000


8.
A relaxed Ru2AuSe crystal, computed with GGA-PBEsol.

## Properties
- Spin magnetization: 0.003 μB/cell
- E_tot: -6.42 eV per atom
- V: 15.2 Å³ per atom

abc: 2.813 2.813 8.785
angles: 90.00 90.00 118.76
Element x y z (fractional)
Se1 0.500 0.500 0.500
Ru1 0.000 0.000 0.270
Ru2 0.000 0.000 0.730
Au1 0.500 0.500 0.000


9.
A relaxed RuAu2Se crystal, computed with GGA-PBEsol.

## Properties
- Spin magnetization: 0.002 μB/cell
- E_tot: -5.16 eV per atom
- V: 17.2 Å³ per atom

abc: 2.829 2.829 9.799
angles: 90.00 90.00 119.01
Element x y z (fractional)
Au1 0.500 0.500 0.731
Au2 0.000 0.000 0.985
Ru1 0.000 0.000 0.490
Se1 0.500 0.500 0.294


10.
A relaxed Ru2AuSe crystal, computed with GGA-PBEsol.

## Properties
- Spin magnetization: 0.003 μB/cell
- E_tot: -6.78 eV per atom
- V: 15.7 Å³ per atom

abc: 2.815 2.815 7.922
angles: 90.00 90.00 90.00
Element x y z (fractional)
Se1 0.000 0.000 0.454
Au1 0.500 0.500 0.777
Ru1 0.000 0.000 0.029
Ru2 0.500 0.500 0.240


11.
A relaxed Ru2AuSe crystal, computed with GGA-PBEsol.

## Properties
- Spin magnetization: 0.000 μB/cell
- E_tot: -6.78 eV per atom
- V: 15.6 Å³ per atom

abc: 2.808 2.808 9.274
angles: 81.29 81.29 60.00
Element x y z (fractional)
Se1 0.488 0.488 0.537
Au1 0.256 0.256 0.232
Ru1 0.748 0.748 0.756
Ru2 0.008 0.008 0.975


12.
A relaxed RuAu2Se crystal, computed with GGA-PBEsol.

## Properties
- Spin magnetization: 0.000 μB/cell
- E_tot: -5.37 eV per atom
- V: 17.0 Å³ per atom

abc: 2.935 2.935 7.873
angles: 90.00 90.00 90.00
Element x y z (fractional)
Ru1 0.000 0.000 0.521
Au1 0.000 0.000 0.021
Au2 0.500 0.500 0.268
Se1 0.500 0.500 0.690


13.
A relaxed Ru2AuSe crystal, computed with GGA-PBEsol.

## Properties
- Spin magnetization: 0.013 μB/cell
- E_tot: -6.57 eV per atom
- V: 15.5 Å³ per atom

abc: 2.811 4.573 5.508
angles: 114.53 104.78 90.00
Element x y z (fractional)
Se1 0.473 0.473 0.946
Au1 0.253 0.753 0.505
Ru1 0.748 0.248 0.497
Ru2 0.026 0.026 0.052


14.
A relaxed RuAu3Se crystal, computed with GGA-PBEsol.

## Properties
- Spin magnetization: 1.569 μB/cell
- E_tot: -3.73 eV per atom
- V: 23.3 Å³ per atom

abc: 4.881 4.881 4.881
angles: 90.00 90.00 90.00
Last column: magnetic moment on the atom in μB.
Element x y z (fractional)
Se1 0.500 0.500 0.500  0.01
Au1 0.500 0.000 0.000  0.11
Au2 0.000 0.500 0.000  0.11
Au3 0.000 0.000 0.500  0.11
Ru1 0.000 0.000 0.000  1.18


15.
A relaxed RuAu2Se crystal, computed with GGA-PBEsol.

## Properties
- Spin magnetization: 0.660 μB/cell
- E_tot: -4.94 eV per atom
- V: 16.5 Å³ per atom

abc: 3.802 3.802 4.563
angles: 90.00 90.00 90.00
Last column: magnetic moment on the atom in μB.
Element x y z (fractional)
Se1 0.000 0.000 0.500  0.04
Au1 0.000 0.500 0.000  0.03
Au2 0.500 0.000 0.000  0.03
Ru1 0.500 0.500 0.500  0.53


16.
A relaxed Sn2RuAuSe crystal, computed with GGA-PBEsol.

## Properties
- Spin magnetization: 0.007 μB/cell
- E_tot: -4.81 eV per atom
- V: 25.0 Å³ per atom

abc: 5.013 5.013 4.973
angles: 90.00 90.00 90.00
Element x y z (fractional)
Sn1 0.500 0.000 0.000
Sn2 0.000 0.500 0.000
Ru1 0.000 0.000 0.000
Se1 0.500 0.500 0.500
Au1 0.000 0.000 0.500


17.
A relaxed SiRuAu2 crystal, computed with GGA-PBEsol.

## Properties
- Spin magnetization: 0.000 μB/cell
- E_tot: -5.84 eV per atom
- V: 15.0 Å³ per atom

abc: 3.823 3.823 4.092
angles: 90.00 90.00 90.00
Element x y z (fractional)
Au1 0.500 0.000 0.000
Au2 0.000 0.500 0.000
Si1 0.000 0.000 0.500
Ru1 0.500 0.500 0.500


18.
A relaxed SiRuAu2 crystal, computed with GGA-PBEsol.

## Properties
- Spin magnetization: 0.000 μB/cell
- E_tot: -5.76 eV per atom
- V: 15.0 Å³ per atom

abc: 4.126 4.576 4.126
angles: 116.79 90.00 116.79
Element x y z (fractional)
Au1 0.750 0.500 0.250
Au2 0.000 0.000 0.000
Ru1 0.500 0.000 0.500
Si1 0.250 0.500 0.750


19.
A relaxed SiRu2Au crystal, computed with GGA-PBEsol.

## Properties
- Spin magnetization: 0.000 μB/cell
- E_tot: -7.37 eV per atom
- V: 13.9 Å³ per atom

abc: 3.816 3.816 4.669
angles: 114.12 114.12 90.00
Element x y z (fractional)
Ru1 0.000 0.000 0.000
Ru2 0.750 0.250 0.500
Au1 0.250 0.750 0.500
Si1 0.500 0.500 0.000


20.
A relaxed SiRu2Au crystal, computed with GGA-PBEsol.

## Properties
- Spin magnetization: 0.011 μB/cell
- E_tot: -7.17 eV per atom
- V: 14.2 Å³ per atom

abc: 4.315 4.315 4.315
angles: 60.00 60.00 60.00
Element x y z (fractional)
Si1 0.750 0.750 0.750
Ru1 0.000 0.000 0.000
Ru2 0.250 0.250 0.250
Au1 0.500 0.500 0.500


21.
A relaxed SiRuAu2 crystal, computed with GGA-PBEsol.

## Properties
- Spin magnetization: 0.001 μB/cell
- E_tot: -5.77 eV per atom
- V: 15.3 Å³ per atom

abc: 2.943 4.364 4.756
angles: 90.00 90.00 90.00
Element x y z (fractional)
Au1 0.500 0.500 0.000
Au2 0.000 0.000 0.000
Ru1 0.500 0.000 0.500
Si1 0.000 0.500 0.500


22.
A relaxed SiRuAu crystal, computed with GGA-PBEsol.

## Properties
- Spin magnetization: 0.000 μB/cell
- E_tot: -6.47 eV per atom
- V: 14.9 Å³ per atom

abc: 2.830 2.830 6.366
angles: 97.31 97.31 115.31
Element x y z (fractional)
Si1 0.678 0.678 0.356
Au1 0.008 0.008 0.015
Ru1 0.315 0.315 0.629


23.
A relaxed SiRuAu crystal, computed with GGA-PBEsol.

## Properties
- Spin magnetization: 0.000 μB/cell
- E_tot: -6.65 eV per atom
- V: 14.6 Å³ per atom

abc: 2.878 2.878 6.110
angles: 90.00 90.00 120.00
Element x y z (fractional)
Si1 0.667 0.333 0.356
Ru1 0.333 0.667 0.630
Au1 0.000 0.000 0.014


24.
A relaxed YSiRuAu2 crystal, computed with GGA-PBEsol.

## Properties
- Spin magnetization: 0.000 μB/cell
- E_tot: -6.00 eV per atom
- V: 21.7 Å³ per atom

abc: 4.328 5.012 5.012
angles: 90.00 90.00 90.00
Element x y z (fractional)
Si1 0.500 0.000 0.000
Ru1 0.000 0.000 0.000
Au1 0.000 0.000 0.500
Au2 0.000 0.500 0.000
Y1 0.500 0.500 0.500


25.
A relaxed SrRu3Au crystal, computed with GGA-PBEsol.

## Properties
- Spin magnetization: 4.384 μB/cell
- E_tot: -4.47 eV per atom
- V: 20.9 Å³ per atom

abc: 4.707 4.707 4.707
angles: 90.00 90.00 90.00
Last column: magnetic moment on the atom in μB.
Element x y z (fractional)
Au1 0.500 0.500 0.500  0.04
Ru1 0.000 0.000 0.500  1.43
Ru2 0.000 0.500 0.000  1.43
Ru3 0.500 0.000 0.000  1.43
Sr1 0.000 0.000 0.000  -0.02


26.
A relaxed SrRuAu crystal, computed with GGA-PBEsol.

## Properties
- Spin magnetization: 1.135 μB/cell
- E_tot: -4.07 eV per atom
- V: 24.3 Å³ per atom

abc: 4.692 4.692 4.692
angles: 60.00 60.00 60.00
Last column: magnetic moment on the atom in μB.
Element x y z (fractional)
Ru1 0.500 0.500 0.500  1.05
Au1 0.000 0.000 0.000  0.01
Sr1 0.750 0.750 0.750  0.00


27.
A relaxed Ta3RuAu crystal, computed with GGA-PBEsol.

## Properties
- Spin magnetization: 0.000 μB/cell
- E_tot: -9.24 eV per atom
- V: 20.7 Å³ per atom

abc: 4.695 4.695 4.695
angles: 90.00 90.00 90.00
Element x y z (fractional)
Ta1 0.500 0.000 0.000
Ta2 0.000 0.000 0.500
Ta3 0.000 0.500 0.000
Au1 0.500 0.500 0.500
Ru1 0.000 0.000 0.000


28.
A relaxed TcRuAu2 crystal, computed with GGA-PBEsol.

## Properties
- Spin magnetization: 0.001 μB/cell
- E_tot: -6.86 eV per atom
- V: 15.1 Å³ per atom

abc: 2.735 4.926 4.926
angles: 114.32 90.00 90.00
Element x y z (fractional)
Ru1 0.500 0.000 0.000
Au1 0.000 0.500 0.000
Au2 0.000 0.000 0.500
Tc1 0.500 0.500 0.500


29.
A relaxed TcRuAu2 crystal, computed with GGA-PBEsol.

## Properties
- Spin magnetization: 0.000 μB/cell
- E_tot: -7.10 eV per atom
- V: 15.2 Å³ per atom

abc: 2.803 3.805 5.696
angles: 90.00 90.00 90.00
Element x y z (fractional)
Au1 0.000 0.500 0.255
Au2 0.500 0.000 0.994
Ru1 0.500 0.000 0.526
Tc1 0.000 0.500 0.726


30.
A relaxed TcRu2Au crystal, computed with GGA-PBEsol.

## Properties
- Spin magnetization: 1.793 μB/cell
- E_tot: -8.23 eV per atom
- V: 14.6 Å³ per atom

abc: 4.359 4.359 4.359
angles: 60.00 60.00 60.00
Last column: magnetic moment on the atom in μB.
Element x y z (fractional)
Au1 0.500 0.500 0.500  0.04
Tc1 0.750 0.750 0.750  0.11
Ru1 0.000 0.000 0.000  1.14
Ru2 0.250 0.250 0.250  0.43


31.
A relaxed TcRu2Au crystal, computed with GGA-PBEsol.

## Properties
- Spin magnetization: 0.000 μB/cell
- E_tot: -8.64 eV per atom
- V: 14.3 Å³ per atom

abc: 2.717 3.861 5.458
angles: 90.00 90.00 90.00
Element x y z (fractional)
Ru1 0.000 0.000 0.021
Ru2 0.500 0.500 0.253
Tc1 0.000 0.000 0.475
Au1 0.500 0.500 0.751